The following is a PBE calculation of a relaxed K2LiUS4 crystal, from Alexandria.

```
K2LiUS4
1.0
4.088 0.000 0.000
0.000 6.769 0.124
0.000 -2.383 7.225
K Li U S
2 1 1 4
Cartesian
2.044 -1.192 3.613
0.000 2.193 3.675
2.044 3.385 0.062
0.000 0.000 0.000
2.044 1.050 1.435
2.044 3.335 5.915
0.000 -0.263 5.840
0.000 4.649 1.510
```

Summary:
Raw formation energy ... -1.335 eV/atom
Mass density ... 3.73 g/cm3
Symmetry ... P2/m (10)
N(E_F) ... 5.1 states/eV per cell
Total moment ... 1.00 μB/f.u.

The following is a PBE calculation of a relaxed ZnOsPb2 crystal, from Alexandria.

```
ZnOsPb2
1.0
-2.588 -9.410 2.747
8.826 -3.473 -3.583
4.187 -6.072 1.854
Pb Zn Os
4 2 2
Cartesian
-0.114 -10.185 2.419
4.298 -11.924 0.628
3.274 -8.517 1.972
1.978 -13.222 3.347
3.119 -6.442 -0.418
8.066 -7.993 -1.074
0.000 0.000 0.000
2.359 -10.962 2.091
```

Summary:
Mass density ... 8.53 g/cm3
Symmetry ... I4_1/amd (141)
Formation energy ... 0.44 eV per atom
N(E_F) ... 0.0 states/eV per cell
Total moment ... 0.00 μB/f.u.

The following is a PBE calculation of a relaxed AsRuSe2N crystal, from Alexandria.

```
AsRuSe2N
1.0
-0.785 -3.448 3.219
3.508 -2.608 -1.939
3.126 2.025 2.932
Ru As Se N
1 1 2 1
Cartesian
0.000 0.000 0.000
1.563 1.013 1.466
1.754 -1.304 -0.969
-0.392 -1.724 1.609
2.925 -2.015 2.106
```

Summary:
Raw formation energy ... 1.616 eV/atom
Offset from the most stable computed form ... 547.6 kJ/mol of formula units
Mass density ... 5.33 g/cm3
Symmetry ... P4/mmm (123)
N(E_F) ... 7.4 states/eV per cell
Total moment ... 0.00 μB/f.u.

The following is a PBE calculation of a relaxed Ca2InPd crystal, from Alexandria.

```
Ca2InPd
1.0
3.579 0.000 0.000
0.000 3.579 0.000
0.000 0.000 7.920
Ca Pd In
2 1 1
Cartesian
0.000 0.000 6.202
0.000 0.000 1.718
1.789 1.789 0.000
1.789 1.789 3.960
```

Summary:
Mass density ... 4.93 g/cm3
Symmetry ... P4/mmm (123)
Formation energy ... -0.55 eV per atom
N(E_F) ... 2.0 states/eV per cell
Total moment ... 0.00 μB/f.u.

The following is a PBE calculation of a relaxed Ce2YHg3 crystal, from Alexandria.

```
Ce2YHg3
1.0
3.483 0.000 0.000
0.000 3.483 0.000
0.000 0.000 13.099
Ce Y Hg
2 1 3
Cartesian
1.742 1.742 10.861
1.742 1.742 2.238
1.742 1.742 6.549
0.000 0.000 0.000
0.000 0.000 8.622
0.000 0.000 4.477
```

Summary:
Mass density ... 10.14 g/cm3
Symmetry ... P4/mmm (123)
Formation energy ... -0.35 eV per atom
N(E_F) ... 15.2 states/eV per cell
Total moment ... 2.43 μB/f.u.

The following is a PBE calculation of a relaxed PrHoPuSc crystal, from Alexandria.

```
PrHoPuSc
1.0
-5.034 -1.224 -1.922
-1.102 -5.105 -1.805
-3.343 -3.298 2.912
Pr Sc Ho Pu
1 1 1 1
Cartesian
-7.110 -7.220 -0.611
0.000 0.000 0.000
-4.740 -4.814 -0.408
-2.370 -2.407 -0.204
```

Summary:
Mass density ... 8.28 g/cm3
Symmetry ... F-43m (216)
Formation energy ... 0.21 eV per atom
N(E_F) ... 11.0 states/eV per cell
Total moment ... 6.01 μB/f.u.